# 1
Crystalline Ag2Te at its relaxed geometry. Source: the Alexandria database, functional GGA-PBE.

Summary:
VASP energy (eV per atom): -2.895
Formation energy from raw total energies (kJ per mole of atoms): 5.2
Space-group type: No. 189

Cell and atoms, written as POSCAR:
```
Ag2Te
1.0
7.543 0.000 0.000
-3.771 6.532 0.000
0.000 0.000 4.331
Ag Te
6 3
direct
0.000 0.261 0.000
0.000 0.603 0.500
0.261 0.000 0.000
0.397 0.397 0.500
0.603 0.000 0.500
0.739 0.739 0.000
0.000 0.000 0.500
0.333 0.667 0.000
0.667 0.333 0.000
```

=====

# 2
Crystalline Ag2Te at its relaxed geometry. Source: the Alexandria database, functional GGA-PBE.

Summary:
VASP energy (eV per atom): -2.966
Formation energy from raw total energies (kJ per mole of atoms): -1.7
Space-group type: No. 166

Cell and atoms, written as POSCAR:
```
Ag2Te
1.0
2.373 1.370 3.920
-2.373 1.370 3.920
0.000 -2.741 3.920
Ag Te
2 1
direct
0.248 0.248 0.248
0.752 0.752 0.752
0.000 0.000 0.000
```

=====

# 3
Crystalline Ag2Te at its relaxed geometry. Source: the Alexandria database, functional GGA-PBE.

Summary:
VASP energy (eV per atom): -2.882
Formation energy from raw total energies (kJ per mole of atoms): 6.3
Space-group type: No. 139

Cell and atoms, written as POSCAR:
```
Ag2Te
1.0
-1.995 1.995 4.248
1.995 -1.995 4.248
1.995 1.995 -4.248
Ag Te
2 1
direct
0.165 0.165 0.000
0.835 0.835 0.000
0.500 0.500 0.000
```

=====

# 4
Crystalline AgTe4 at its relaxed geometry. Source: the Alexandria database, functional GGA-PBE.

Summary:
VASP energy (eV per atom): -2.988
Formation energy from raw total energies (kJ per mole of atoms): 9.2
Relative energy among the computed polymorphs (meV/atom): 0
Space-group type: No. 14

Cell and atoms, written as POSCAR:
```
AgTe4
1.0
6.820 0.000 0.000
0.000 6.418 0.000
-1.987 0.000 7.589
Ag Te
2 8
direct
0.000 0.000 0.000
0.000 0.500 0.500
0.195 0.149 0.743
0.195 0.351 0.243
0.292 0.662 0.048
0.292 0.838 0.548
0.708 0.162 0.452
0.708 0.338 0.952
0.805 0.649 0.757
0.805 0.851 0.257
```

=====

# 5
Crystalline Ag2Te at its relaxed geometry. Source: the Alexandria database, functional GGA-PBE.

Summary:
VASP energy (eV per atom): -2.970
Formation energy from raw total energies (kJ per mole of atoms): -2.1
Space-group type: No. 63

Cell and atoms, written as POSCAR:
```
Ag2Te
1.0
2.387 -4.289 0.000
2.387 4.289 0.000
0.000 0.000 8.179
Ag Te
4 2
direct
0.000 0.000 0.000
0.000 0.000 0.500
0.465 0.535 0.750
0.535 0.465 0.250
0.204 0.796 0.250
0.796 0.204 0.750
```

=====

# 6
Crystalline AgTe at its relaxed geometry. Source: the Alexandria database, functional GGA-PBE.

Summary:
VASP energy (eV per atom): -2.955
Formation energy from raw total energies (kJ per mole of atoms): 4.0
Space-group type: No. 8

Cell and atoms, written as POSCAR:
```
AgTe
1.0
7.440 -1.546 0.000
7.440 1.546 0.000
-3.745 0.000 6.989
Ag Te
3 3
direct
0.000 0.000 0.000
0.522 0.522 0.706
0.666 0.666 0.330
0.206 0.206 0.039
0.325 0.325 0.705
0.996 0.996 0.362
```

=====

# 7
Crystalline AgTe at its relaxed geometry. Source: the Alexandria database, functional GGA-PBE.

Summary:
VASP energy (eV per atom): -2.960
Formation energy from raw total energies (kJ per mole of atoms): 3.5
Space-group type: No. 166

Cell and atoms, written as POSCAR:
```
AgTe
1.0
2.194 1.267 6.488
-2.194 1.267 6.488
0.000 -2.533 6.488
Ag Te
2 2
direct
0.126 0.126 0.126
0.874 0.874 0.874
0.273 0.273 0.273
0.727 0.727 0.727
```

=====

# 8
Crystalline AgTe3 at its relaxed geometry. Source: the Alexandria database, functional GGA-PBE.

Summary:
VASP energy (eV per atom): -2.911
Formation energy from raw total energies (kJ per mole of atoms): 15.3
Space-group type: No. 65

Cell and atoms, written as POSCAR:
```
AgTe3
1.0
2.016 -2.371 0.000
2.016 2.371 0.000
0.000 0.000 12.378
Ag Te
1 3
direct
0.000 0.000 0.000
0.000 0.000 0.500
0.500 0.500 0.192
0.500 0.500 0.808
```

=====

# 9
Crystalline AgTe at its relaxed geometry. Source: the Alexandria database, functional GGA-PBE.

Summary:
VASP energy (eV per atom): -2.640
Formation energy from raw total energies (kJ per mole of atoms): 34.4
Space-group type: No. 227

Cell and atoms, written as POSCAR:
```
AgTe
1.0
0.000 3.654 3.654
3.654 0.000 3.654
3.654 3.654 0.000
Ag Te
2 2
direct
0.125 0.125 0.125
0.875 0.875 0.875
0.375 0.375 0.375
0.625 0.625 0.625
```

=====

# 10
Crystalline Ag2Te at its relaxed geometry. Source: the Alexandria database, functional GGA-PBE.

Summary:
VASP energy (eV per atom): -2.774
Formation energy from raw total energies (kJ per mole of atoms): 16.8
Space-group type: No. 227

Cell and atoms, written as POSCAR:
```
Ag2Te
1.0
0.000 4.032 4.032
4.032 0.000 4.032
4.032 4.032 0.000
Ag Te
4 2
direct
0.000 0.000 0.000
0.000 0.000 0.500
0.000 0.500 0.000
0.500 0.000 0.000
0.375 0.375 0.375
0.625 0.625 0.625
```

=====

# 11
Crystalline AgTe3 at its relaxed geometry. Source: the Alexandria database, functional GGA-PBE.

Summary:
VASP energy (eV per atom): -3.014
Formation energy from raw total energies (kJ per mole of atoms): 5.3
Space-group type: No. 123

Cell and atoms, written as POSCAR:
```
AgTe3
1.0
3.123 0.000 0.000
0.000 3.123 0.000
0.000 0.000 12.964
Ag Te
1 3
direct
0.000 0.000 0.000
0.000 0.000 0.208
0.000 0.000 0.500
0.000 0.000 0.792
```

=====

# 12
Crystalline Ag3Te5 at its relaxed geometry. Source: the Alexandria database, functional GGA-PBE.

Summary:
VASP energy (eV per atom): -2.805
Formation energy from raw total energies (kJ per mole of atoms): 21.9
Relative energy among the computed polymorphs (meV/atom): 151
Space-group type: No. 193

Cell and atoms, written as POSCAR:
```
Ag3Te5
1.0
8.131 0.000 0.000
-4.065 7.042 0.000
0.000 0.000 7.625
Ag Te
6 10
direct
0.000 0.431 0.250
0.000 0.569 0.750
0.431 0.000 0.250
0.431 0.431 0.750
0.569 0.000 0.750
0.569 0.569 0.250
0.000 0.213 0.750
0.000 0.787 0.250
0.213 0.000 0.750
0.213 0.213 0.250
0.333 0.667 0.000
0.333 0.667 0.500
0.667 0.333 0.000
0.667 0.333 0.500
0.787 0.000 0.250
0.787 0.787 0.750
```